No. 1
DFT (PBE) results for crystalline Ca4CrP at its relaxed geometry.

Total magnetization (μB/cell): 17.822
DOS at the Fermi energy (states/eV per atom): 0.971
Total DFT energy (no corrections) (eV/cell): -75.2

CIF file:
```
data_Ca4CrP
_space_group_name_H-M_alt 'F -4 3 m'
_space_group_IT_number 216
_space_group_name_Hall 'F -4 2 3'
_cell_length_a 9.132
_cell_length_b 9.132
_cell_length_c 9.132
_cell_angle_alpha 90.00
_cell_angle_beta 90.00
_cell_angle_gamma 90.00
loop_
_atom_site_label
_atom_site_type_symbol
_atom_site_fract_x
_atom_site_fract_y
_atom_site_fract_z
Ca1 Ca 0.124 0.124 0.376
Cr1 Cr 0.000 0.000 0.000
P1 P 0.250 0.250 0.750
```



No. 2
DFT (PBE) results for crystalline SmAlH6 at its relaxed geometry.

Total magnetization (μB/cell): 0.000
DOS at the Fermi energy (states/eV per atom): 0.000
Total DFT energy (no corrections) (eV/cell): -93.0

CIF file:
```
data_SmAlH6
_space_group_name_H-M_alt 'R -3 m'
_space_group_IT_number 166
_space_group_name_Hall '-R 3 2"'
_cell_length_a 6.3120
_cell_length_b 6.3120
_cell_length_c 6.0870
_cell_angle_alpha 90.00
_cell_angle_beta 90.00
_cell_angle_gamma 120.00
loop_
_atom_site_label
_atom_site_type_symbol
_atom_site_fract_x
_atom_site_fract_y
_atom_site_fract_z
Sm1 Sm 0.0000 0.0000 0.0000
Al1 Al 0.0000 0.0000 0.5000
H1 H 0.0913 0.5456 0.3473
```



No. 3
DFT (PBE) results for crystalline Tm2MgAl3Pt4 at its relaxed geometry.

Total magnetization (μB/cell): 0.000
DOS at the Fermi energy (states/eV per atom): 0.506
Total DFT energy (no corrections) (eV/cell): -56.3

CIF file:
```
data_Tm2MgAl3Pt4
_space_group_name_H-M_alt 'P -4 m 2'
_space_group_IT_number 115
_cell_length_a 4.060
_cell_length_b 4.060
_cell_length_c 11.261
_cell_angle_alpha 90.00
_cell_angle_beta 90.00
_cell_angle_gamma 90.00
loop_
_space_group_symop_operation_xyz
'x,y,z'
'y,-x,-z'
'-x,-y,z'
'-y,x,-z'
'-x,y,z'
'-y,-x,-z'
'x,-y,z'
'y,x,-z'
loop_
_atom_site_label
_atom_site_type_symbol
_atom_site_fract_x
_atom_site_fract_y
_atom_site_fract_z
Tm1 Tm 0.000 0.500 0.247
Mg1 Mg 0.000 0.000 0.500
Al1 Al 0.000 0.500 0.871
Al2 Al 0.500 0.500 0.500
Pt1 Pt 0.000 0.000 0.000
Pt2 Pt 0.000 0.500 0.651
Pt3 Pt 0.500 0.500 0.000
```



No. 4
DFT (PBE) results for crystalline As2IrBr at its relaxed geometry.

Energy above the most stable polymorph in this dataset (eV/atom): 0.310
Total magnetization (μB/cell): 0.000
Formation energy from raw total energies (eV per atom): 0.131
DOS at the Fermi energy (states/eV per atom): 0.513

CIF file:
```
data_As2IrBr
_space_group_name_H-M_alt 'I m m 2'
_space_group_IT_number 44
_cell_length_a 3.456
_cell_length_b 4.030
_cell_length_c 13.434
_cell_angle_alpha 90.00
_cell_angle_beta 90.00
_cell_angle_gamma 90.00
loop_
_space_group_symop_operation_xyz
'x,y,z'
'-x,-y,z'
'-x,y,z'
'x,-y,z'
'x+1/2,y+1/2,z+1/2'
'-x+1/2,-y+1/2,z+1/2'
'-x+1/2,y+1/2,z+1/2'
'x+1/2,-y+1/2,z+1/2'
loop_
_atom_site_label
_atom_site_type_symbol
_atom_site_fract_x
_atom_site_fract_y
_atom_site_fract_z
As1 As 0.000 0.000 0.000
As2 As 0.000 0.500 0.119
Ir1 Ir 0.000 0.000 0.478
Br1 Br 0.000 0.500 0.817
```



No. 5
DFT (PBE) results for crystalline CuNi3Se at its relaxed geometry.

Energy above the most stable polymorph in this dataset (eV/atom): 0.447
Total magnetization (μB/cell): 1.709
Formation energy from raw total energies (eV per atom): 0.969
DOS at the Fermi energy (states/eV per atom): 1.707

CIF file:
```
data_CuNi3Se
_space_group_name_H-M_alt 'P m -3 m'
_space_group_IT_number 221
_space_group_name_Hall '-P 4 2 3'
_cell_length_a 4.320
_cell_length_b 4.320
_cell_length_c 4.320
_cell_angle_alpha 90.00
_cell_angle_beta 90.00
_cell_angle_gamma 90.00
loop_
_atom_site_label
_atom_site_type_symbol
_atom_site_fract_x
_atom_site_fract_y
_atom_site_fract_z
Cu1 Cu 0.000 0.000 0.000
Ni1 Ni 0.000 0.000 0.500
Se1 Se 0.500 0.500 0.500
```



No. 6
DFT (PBE) results for crystalline AgGeTe3Pb at its relaxed geometry.

Total magnetization (μB/cell): 0.000
Formation energy from raw total energies (eV per atom): -0.113
DOS at the Fermi energy (states/eV per atom): 0.390

CIF file:
```
data_AgGeTe3Pb
_space_group_name_H-M_alt 'P 1 21/m 1'
_space_group_IT_number 11
_cell_length_a 9.052
_cell_length_b 4.079
_cell_length_c 9.898
_cell_angle_alpha 90.00
_cell_angle_beta 101.94
_cell_angle_gamma 90.00
loop_
_space_group_symop_operation_xyz
'x,y,z'
'-x,-y,-z'
'-x,y+1/2,-z'
'x,-y+1/2,z'
loop_
_atom_site_label
_atom_site_type_symbol
_atom_site_fract_x
_atom_site_fract_y
_atom_site_fract_z
Ag1 Ag 0.064 0.250 0.098
Ge1 Ge 0.331 0.750 0.393
Te1 Te 0.111 0.250 0.389
Te2 Te 0.260 0.750 0.021
Te3 Te 0.449 0.750 0.672
Pb1 Pb 0.199 0.250 0.765
```



No. 7
DFT (PBE) results for crystalline Pr2SnPd at its relaxed geometry.

Total magnetization (μB/cell): 0.000
DOS at the Fermi energy (states/eV per atom): 0.748
Total DFT energy (no corrections) (eV/cell): -81.4

CIF file:
```
data_Pr2SnPd
_space_group_name_H-M_alt 'C 1 2/c 1'
_space_group_IT_number 15
_cell_length_a 11.290
_cell_length_b 5.086
_cell_length_c 9.306
_cell_angle_alpha 90.00
_cell_angle_beta 114.34
_cell_angle_gamma 90.00
loop_
_space_group_symop_operation_xyz
'x,y,z'
'-x,-y,-z'
'-x,y,-z+1/2'
'x,-y,z+1/2'
'x+1/2,y+1/2,z'
'-x+1/2,-y+1/2,-z'
'-x+1/2,y+1/2,-z+1/2'
'x+1/2,-y+1/2,z+1/2'
loop_
_atom_site_label
_atom_site_type_symbol
_atom_site_fract_x
_atom_site_fract_y
_atom_site_fract_z
Pr1 Pr 0.177 0.001 0.088
Sn1 Sn 0.000 0.496 0.250
Pd1 Pd 0.000 0.004 0.750
```



No. 8
DFT (PBE) results for crystalline Ti3NbGa at its relaxed geometry.

Energy above the most stable polymorph in this dataset (eV/atom): 1.122
Total magnetization (μB/cell): 0.329
DOS at the Fermi energy (states/eV per atom): 1.562

CIF file:
```
data_Ti3NbGa
_space_group_name_H-M_alt 'P m -3 m'
_space_group_IT_number 221
_space_group_name_Hall '-P 4 2 3'
_cell_length_a 4.777
_cell_length_b 4.777
_cell_length_c 4.777
_cell_angle_alpha 90.00
_cell_angle_beta 90.00
_cell_angle_gamma 90.00
loop_
_atom_site_label
_atom_site_type_symbol
_atom_site_fract_x
_atom_site_fract_y
_atom_site_fract_z
Ti1 Ti 0.000 0.000 0.500
Nb1 Nb 0.000 0.000 0.000
Ga1 Ga 0.500 0.500 0.500
```



No. 9
DFT (PBE) results for crystalline AcMgGe3 at its relaxed geometry.

Total magnetization (μB/cell): 0.000
DOS at the Fermi energy (states/eV per atom): 0.312
Total DFT energy (no corrections) (eV/cell): -86.5

CIF file:
```
data_AcMgGe3
_space_group_name_H-M_alt 'C m c m'
_space_group_IT_number 63
_space_group_name_Hall '-C 2c 2'
_cell_length_a 4.370
_cell_length_b 26.503
_cell_length_c 4.173
_cell_angle_alpha 90.00
_cell_angle_beta 90.00
_cell_angle_gamma 90.00
loop_
_atom_site_label
_atom_site_type_symbol
_atom_site_fract_x
_atom_site_fract_y
_atom_site_fract_z
Ac1 Ac 0.000 0.080 0.250
Mg1 Mg 0.000 0.204 0.750
Ge1 Ge 0.000 0.307 0.750
Ge2 Ge 0.000 0.366 0.250
Ge3 Ge 0.000 0.472 0.250
```



No. 10
DFT (PBE) results for crystalline Nd8Tm2Hg at its relaxed geometry.

Total magnetization (μB/cell): 0.000
DOS at the Fermi energy (states/eV per atom): 1.444
Total DFT energy (no corrections) (eV/cell): -93.5

CIF file:
```
data_Nd8Tm2Hg
_space_group_name_H-M_alt 'C 1 2/m 1'
_space_group_IT_number 12
_cell_length_a 18.760
_cell_length_b 6.925
_cell_length_c 5.821
_cell_angle_alpha 90.00
_cell_angle_beta 91.38
_cell_angle_gamma 90.00
loop_
_space_group_symop_operation_xyz
'x,y,z'
'-x,-y,-z'
'-x,y,-z'
'x,-y,z'
'x+1/2,y+1/2,z'
'-x+1/2,-y+1/2,-z'
'-x+1/2,y+1/2,-z'
'x+1/2,-y+1/2,z'
loop_
_atom_site_label
_atom_site_type_symbol
_atom_site_fract_x
_atom_site_fract_y
_atom_site_fract_z
Nd1 Nd 0.047 0.000 0.235
Nd2 Nd 0.128 0.236 0.751
Nd3 Nd 0.174 0.500 0.236
Tm1 Tm 0.218 0.000 0.259
Hg1 Hg 0.000 0.500 0.000
```



No. 11
DFT (PBE) results for crystalline Tb2Pr2Y5 at its relaxed geometry.

Energy above the most stable polymorph in this dataset (eV/atom): 0.000
Total magnetization (μB/cell): 0.000
DOS at the Fermi energy (states/eV per atom): 1.634

CIF file:
```
data_Tb2Pr2Y5
_space_group_name_H-M_alt 'I m a 2'
_space_group_IT_number 46
_cell_length_a 15.041
_cell_length_b 11.899
_cell_length_c 6.812
_cell_angle_alpha 90.00
_cell_angle_beta 90.00
_cell_angle_gamma 90.00
loop_
_space_group_symop_operation_xyz
'x,y,z'
'-x,-y,z'
'-x+1/2,y,z'
'x+1/2,-y,z'
'x+1/2,y+1/2,z+1/2'
'-x+1/2,-y+1/2,z+1/2'
'-x,y+1/2,z+1/2'
'x,-y+1/2,z+1/2'
loop_
_atom_site_label
_atom_site_type_symbol
_atom_site_fract_x
_atom_site_fract_y
_atom_site_fract_z
Tb1 Tb 0.127 0.003 0.000
Pr1 Pr 0.000 0.000 0.548
Pr2 Pr 0.250 0.509 0.949
Y1 Y 0.053 0.244 0.355
Y2 Y 0.143 0.735 0.162
Y3 Y 0.250 0.247 0.158
```